(1)
{
  "formula": "MnTc2Ag",
  "functional": "GGA-PBE",
  "state": "optimized geometry",
  "lattice": [[2.9284, 0.0000, 0.0000], [0.0000, 2.9284, 0.0000], [0.0000, 0.0000, 7.3186]],
  "species": ["Ag", "Mn", "Tc", "Tc"],
  "frac_coords": [[0.0000, 0.0000, 0.5065], [0.5000, 0.5000, 0.7662], [0.0000, 0.0000, 0.0117], [0.5000, 0.5000, 0.2156]],
  "relative_energy_ev_per_atom": 0.028,
  "space_group": "P4mm (99)",
  "energy_ev_per_atom": -7.915
}

(2)
{
  "formula": "GaPbAu2",
  "functional": "GGA-PBE",
  "state": "optimized geometry",
  "lattice": [[3.9136, 0.0000, 0.0000], [0.0000, 4.7128, 0.0000], [0.0000, 0.0000, 4.7128]],
  "species": ["Au", "Pb", "Au", "Ga"],
  "frac_coords": [[0.0000, 0.0000, 0.5000], [0.5000, 0.5000, 0.5000], [0.0000, 0.5000, 0.0000], [0.5000, 0.0000, 0.0000]],
  "space_group": "P4/mmm (123)",
  "energy_ev_per_atom": -3.320
}

(3)
{
  "formula": "ZrZnFeIr",
  "functional": "GGA-PBE",
  "state": "optimized geometry",
  "lattice": [[4.4189, 0.0000, 0.0000], [2.2095, 3.8269, 0.0000], [2.2095, 1.2756, 3.6080]],
  "species": ["Fe", "Ir", "Zn", "Zr"],
  "frac_coords": [[0.0000, 0.0000, 0.0000], [0.5000, 0.5000, 0.5000], [0.7500, 0.7500, 0.7500], [0.2500, 0.2500, 0.2500]],
  "space_group": "F-43m (216)",
  "energy_ev_per_atom": -7.089
}

(4)
{
  "formula": "Pr5HoTm",
  "functional": "GGA-PBE",
  "state": "optimized geometry",
  "lattice": [[5.5912, -0.0110, 2.0346], [2.1602, 7.3540, 2.6962], [0.1795, 0.5771, 8.1026]],
  "species": ["Pr", "Pr", "Tm", "Pr", "Pr", "Pr", "Ho"],
  "frac_coords": [[0.0000, 0.3243, 0.6757], [0.7524, 0.2486, 0.2486], [0.5000, 0.5000, 0.5000], [0.0000, 0.6757, 0.3243], [0.2476, 0.7514, 0.7514], [0.5000, 0.0000, 0.0000], [0.0000, 0.0000, 0.0000]],
  "space_group": "C2/m (12)",
  "energy_ev_per_atom": -3.747
}